DFT (PBE-GGA) results for an optimized crystal structure of PrHoSnPb.

The volume comes out at 29.2 A^3/atom. The total energy is -75.8 eV for the cell shown. The formation energy from the elements comes out at -1.89 eV per formula unit. Its density of states at the Fermi level is 18.02 states/eV/cell.

The structure belongs to space group F-43m (No. 216); the cell edges are 7.759, 7.759 and 7.759 Å and the angles 90.00°, 90.00° and 90.00°. The asymmetric unit holds Pr at (0.000, 0.000, 0.000), Ho at (0.000, 0.000, 0.500), Sn at (0.250, 0.250, 0.250) and Pb at (0.250, 0.250, 0.750).